VASP calculation (GGA-PBE) on crystalline TiIn2CCl at its relaxed geometry.

Properties
- density (g/cm³) = 5.0
- ΔE_f (raw) (meV per atom) = 366
- uncorrected energy (eV per atom) = -4.523
- calculated volume (Å³/f.u.) = 107.0

Lattice parameters (Å, degrees): 5.1063 4.1037 5.1063 90.00 90.00 90.00
Last column: magnetic moment on the atom in μB.
Element x y z (fractional)
Cl 0.5000 0.5000 0.5000  0.01
C 0.0000 0.0000 0.0000  -0.03
Ti 0.0000 0.5000 0.0000  0.53
In 0.0000 0.0000 0.5000  0.01
In 0.5000 0.0000 0.0000  0.01